This record from the Alexandria database describes a PBEsol-optimized structure of BaCa2Sb. The functional is SCAN.

Values from the calculation:
SG: No. 123
Total magnetic moment in Bohr magnetons per cell: 0.0
Calculated total energy in eV/atom: -24.5443
Formation energy without anion corrections in meV/atom: -510

a b c (Å): 5.1315 5.1315 5.1706
angles (deg): 90.00 90.00 90.00
Closest atoms and distances in Å follow each position.
Positions (direct):
Ba  0.0000  0.0000  0.0000  4 Sb 3.63, 8 Ca 3.64
Ca  0.0000  0.5000  0.5000  4 Ca 3.63, 4 Sb 3.64, 4 Ba 3.64
Ca  0.5000  0.0000  0.5000  4 Ca 3.63, 4 Sb 3.64, 4 Ba 3.64
Sb  0.5000  0.5000  0.0000  4 Ba 3.63, 8 Ca 3.64